Computed, not measured: PaFePbO6 after structural relaxation at the GGA+U level of DFT.

Geometry as extended XYZ:
```
9
Lattice="-1.174 3.141 3.432 3.015 -2.662 3.468 2.108 3.934 -2.879" Properties=species:S:1:pos:R:3 pbc="T T T"
O 2.140 5.394 0.720
O 1.262 1.258 1.063
O 1.185 3.550 -1.061
O 2.679 3.217 2.897
O -0.174 3.511 1.652
O 3.848 2.901 0.443
Pa 2.410 1.735 -0.763
Fe -0.587 1.570 1.716
Pb 2.126 1.106 3.068
```

The magnetic moment comes out at 1.047 Bohr magnetons per cell. The calculation puts the total energy at -7.244 eV/atom. The value obtained for the density of states at the Fermi level is 0.000 states/eV/f.u.